4
Lattice="4.9522 0.0000 0.0000 2.4761 4.2888 0.0000 2.4761 1.4296 4.0435" Properties=species:S:1:pos:R:3 comment="ThScOsAu | Alexandria via LeMat-Bulk | PBE | optimized geometry" formation_enthalpy_0k_ev_per_atom=-0.402 pbc="T T T"
Os 4.9522 2.8592 2.0217
Au 0.0000 0.0000 0.0000
Th 2.4761 1.4296 1.0109
Sc 7.4284 4.2888 3.0326


8
Lattice="3.3043 0.0000 0.0000 0.0000 3.3043 0.0000 0.0000 0.0000 13.6662" Properties=species:S:1:pos:R:3 comment="Hf5Tc3 | Alexandria via LeMat-Bulk | PBE | optimized geometry" formation_enthalpy_0k_ev_per_atom=-0.374 pbc="T T T"
Hf 1.6522 1.6522 5.2790
Hf 0.0000 0.0000 0.0000
Tc 1.6522 1.6522 11.9869
Hf 0.0000 0.0000 3.1500
Tc 0.0000 0.0000 6.8331
Hf 0.0000 0.0000 10.5162
Hf 1.6522 1.6522 8.3872
Tc 1.6522 1.6522 1.6793


5
Lattice="4.6739 0.0000 0.0000 0.0000 4.6739 0.0000 0.0000 0.0000 4.6739" Properties=species:S:1:pos:R:3 comment="LaGaCu3 | Alexandria via LeMat-Bulk | PBE | optimized geometry" formation_enthalpy_0k_ev_per_atom=-0.011 polymorph_energy_ev_per_atom=0.000 pbc="T T T"
Ga 0.0000 0.0000 0.0000
La 2.3370 2.3370 2.3370
Cu 2.3370 0.0000 0.0000
Cu 0.0000 2.3370 0.0000
Cu 0.0000 0.0000 2.3370


14
Lattice="4.5134 0.0000 0.0000 0.0000 8.7298 0.0000 0.0000 0.0000 8.7298" Properties=species:S:1:pos:R:3 comment="AcSn4Pt2 | Alexandria via LeMat-Bulk | PBE | optimized geometry" formation_enthalpy_0k_ev_per_atom=-0.587 pbc="T T T"
Ac 2.2567 0.0000 0.0000
Sn 2.2567 5.0748 1.5401
Pt 0.0000 6.8780 1.8519
Sn 0.0000 8.0199 5.9050
Sn 2.2567 7.1898 3.6550
Pt 2.2567 6.2168 6.2168
Pt 2.2567 2.5130 2.5130
Sn 2.2567 1.5401 5.0748
Sn 2.2567 3.6550 7.1898
Ac 0.0000 4.3649 4.3649
Sn 0.0000 0.7099 2.8249
Sn 0.0000 2.8249 0.7099
Sn 0.0000 5.9050 8.0199
Pt 0.0000 1.8519 6.8780


18
Lattice="5.4863 0.0000 0.0000 2.7432 4.7513 0.0000 2.7432 1.5838 13.0659" Properties=species:S:1:pos:R:3 comment="HfNpRe | Alexandria via LeMat-Bulk | PBE | optimized geometry" formation_enthalpy_0k_ev_per_atom=-0.011 pbc="T T T"
Re 5.4863 3.1675 2.1314
Hf 2.7432 1.5838 2.4909
Np 5.4863 4.9219 8.7581
Np 5.4863 1.4132 4.3078
Re 5.4863 3.1675 10.9345
Hf 2.7432 1.5838 11.5781
Hf 2.7432 1.5838 5.9262
Np 7.0057 4.0447 4.3078
Np 7.0057 2.2903 8.7581
Np 3.9670 4.0447 4.3078
Re 2.7432 0.0000 0.0000
Np 3.9670 2.2903 8.7581
Hf 8.2295 4.7513 1.4877
Re 4.1147 2.3756 0.0000
Re 1.3716 2.3756 0.0000
Hf 8.2295 4.7513 10.5750
Re 5.4863 3.1675 6.5329
Hf 8.2295 4.7513 7.1397


6
Lattice="-2.5518 3.3621 -0.5874 -1.1118 -1.5123 -3.8258 -3.7871 -4.6472 5.3109" Properties=species:S:1:pos:R:3 comment="CeNdGa4 | Alexandria via LeMat-Bulk | PBE | optimized geometry" formation_enthalpy_0k_ev_per_atom=-0.635 polymorph_energy_ev_per_atom=0.010 pbc="T T T"
Nd -3.3654 -2.6173 -0.3608
Ce 0.0000 0.0000 0.0000
Ga -5.0234 -0.8016 1.7767
Ga -3.1473 0.4413 0.7402
Ga -2.7607 0.3095 -1.6934
Ga -4.6900 -3.1070 2.5911


9
Lattice="0.7048 3.4493 2.2622 -0.6737 -2.2945 7.5790 7.8398 0.0840 1.3000" Properties=species:S:1:pos:R:3 comment="CeH4I4 | Alexandria via LeMat-Bulk | PBE | optimized geometry" total_energy_ha_per_atom=-0.10780 pbc="T T T"
H 6.8552 2.0203 4.4602
I 1.4622 0.8156 7.9773
H 2.2011 0.8216 3.8674
Ce 0.0155 0.5774 4.9206
I 5.1121 -1.3304 6.2419
H 5.6697 0.4173 7.2738
I 6.4086 0.4233 3.1639
H 1.0156 -0.7815 6.6810
I 2.7587 2.5693 4.8993


8
Lattice="-0.5898 -5.7169 0.7357 5.7627 -0.5685 0.2022 2.4722 -2.4684 5.6176" Properties=species:S:1:pos:R:3 comment="Ga2PPt | Alexandria via LeMat-Bulk | PBE | optimized geometry" formation_enthalpy_0k_ev_per_atom=-0.164 pbc="T T T"
Pt 0.0000 0.0000 0.0000
P 2.5864 -3.1427 0.4690
P 5.4107 -3.0898 3.1444
Ga 6.3146 -7.3446 5.0316
Ga 3.8598 -4.2148 4.5672
Ga 0.9765 -4.1960 1.8811
Pt 2.2344 -5.6640 3.4111
Ga 4.1393 -1.7523 1.6312


10
Lattice="8.8484 0.0006 0.0006 4.4247 7.6629 0.0003 4.4244 2.5548 7.3619" Properties=species:S:1:pos:R:3 comment="Rb2HoInI6 | Alexandria via LeMat-Bulk | PBE | optimized geometry" e_form_raw_ev_per_atom=-1.250 pbc="T T T"
Rb 8.8488 5.1087 2.8277
Ho 4.4244 2.5545 0.2375
I 12.4643 4.9381 1.9259
In 13.2728 7.6636 4.0345
I 7.1897 8.3254 1.9253
I 10.4130 6.9966 5.7819
Rb 4.4247 2.5550 6.7024
I 9.7014 2.8108 5.7824
I 6.8923 2.0637 1.9257
I 6.4321 5.5202 5.7822


3
Lattice="5.0403 0.0000 0.0000 2.5201 4.3650 0.0000 2.5201 1.4550 4.1154" Properties=species:S:1:pos:R:3 comment="KZrCr | Alexandria via LeMat-Bulk | PBE | optimized geometry" formation_enthalpy_0k_ev_per_atom=1.632 polymorph_energy_ev_per_atom=0.862 pbc="T T T"
Zr 5.0403 2.9100 2.0577
K 0.0000 0.0000 0.0000
Cr 7.5604 4.3650 3.0865


20
Lattice="-0.5861 -8.4787 1.7543 5.8339 -1.2263 -6.3064 6.0978 1.3089 6.0343" Properties=species:S:1:pos:R:3 comment="PmGa3Cl6 | Alexandria via LeMat-Bulk | PBE | optimized geometry" e_form_raw_ev_per_atom=-1.309 pbc="T T T"
Ga 4.7847 -2.6878 4.7695
Cl 3.8055 -8.7927 -2.4247
Ga 4.4464 -7.3617 3.5312
Cl 9.7171 -0.6719 -1.6735
Pm 0.0000 0.0000 0.0000
Ga 2.4981 -6.7729 -0.8678
Cl 5.6419 -4.7177 6.6020
Cl 1.6285 -7.7242 3.1558
Cl 3.5239 -4.3205 2.4160
Cl 5.5146 -6.9181 0.6232
Cl 7.5400 0.3967 3.9069
Cl 7.8217 -4.0755 -0.9338
Pm 5.6728 -4.1980 0.7411
Ga 6.5609 -5.7083 -3.2872
Ga 6.8992 -1.0343 -2.0489
Cl 5.7037 -3.6784 -5.1197
Ga 8.8475 -1.6231 2.3500
Cl 5.8310 -1.4779 0.8591
Cl 4.1369 -4.1858 -1.5125
Cl 7.2087 -4.2102 2.9947


Number 1: total magnetic moment 0.0 Bohr magnetons per cell. Number 2: total magnetic moment 0.0 Bohr magnetons per cell. Number 3: total magnetic moment 0.0 Bohr magnetons per cell. Number 4: total magnetic moment 0.0 Bohr magnetons per cell. Number 5: total magnetic moment 2.6 Bohr magnetons per cell. Number 6: total magnetic moment 0.5 Bohr magnetons per cell. Number 7: total magnetic moment 1.0 Bohr magnetons per cell. Number 8: total magnetic moment 0.0 Bohr magnetons per cell. Number 9: total magnetic moment 0.0 Bohr magnetons per cell. Number 10: total magnetic moment 3.0 Bohr magnetons per cell. Number 11: total magnetic moment 0.0 Bohr magnetons per cell.